Compound: V2Co6Ge
Source: the Alexandria database
Functional: GGA-PBE
Structure: relaxed

Properties
DFT formation energy = 5.9 kcal/mol of atoms

CIF file:
```
data_V2Co6Ge
_chemical_formula_sum 'V4 Co12 Ge2'
_cell_length_a 3.728
_cell_length_b 5.479
_cell_length_c 11.515
_cell_angle_alpha 90.00
_cell_angle_beta 90.00
_cell_angle_gamma 90.00
_symmetry_space_group_name_H-M 'I m m m'
_symmetry_Int_Tables_number 71
_symmetry_space_group_name_Hall '-I 2 2'
loop_
_atom_site_label
_atom_site_type_symbol
_atom_site_fract_x
_atom_site_fract_y
_atom_site_fract_z
V1 V 0.000 0.000 0.166
Co1 Co 0.000 0.243 0.000
Co2 Co 0.000 0.247 0.333
Ge1 Ge 0.000 0.000 0.500
```

Compound: TmPaAgS4
Source: the Alexandria database
Functional: GGA-PBE
Structure: relaxed

Properties
Energy relative to the elements, uncorrected = -1.438 eV per atom

CIF file:
```
data_TmPaAgS4
_chemical_formula_sum 'Tm4 Pa4 Ag4 S16'
_cell_length_a 7.856
_cell_length_b 8.063
_cell_length_c 11.228
_cell_angle_alpha 90.00
_cell_angle_beta 90.00
_cell_angle_gamma 90.00
_symmetry_space_group_name_H-M 'I m m a'
_symmetry_Int_Tables_number 74
_symmetry_space_group_name_Hall '-I 2b 2'
loop_
_atom_site_label
_atom_site_type_symbol
_atom_site_fract_x
_atom_site_fract_y
_atom_site_fract_z
Tm1 Tm 0.250 0.250 0.250
Pa1 Pa 0.000 0.000 0.000
Ag1 Ag 0.000 0.250 0.632
S1 S 0.000 0.019 0.241
S2 S 0.235 0.250 0.008
```